[1]
Computed, not measured: a geometry-optimized RbCuAuF6 structure at the GGA-PBE level of DFT.

a b c (Å): 5.648 5.780 5.812
angles (deg): 112.14 92.14 92.32
Fractional coordinates of all 9 atoms:
1 Rb 0.000 0.000 0.000
2 Cu 0.502 0.325 0.676
3 Au 0.500 0.652 0.348
4 F 0.293 0.068 0.666
5 F 0.308 0.649 0.058
6 F 0.316 0.363 0.383
7 F 0.686 0.618 0.635
8 F 0.691 0.945 0.350
9 F 0.713 0.339 0.931

Summary:
The uncorrected formation energy is -1606 meV/atom. For the volume, the calculation gives 175 Å³/f.u.

[2]
Computed, not measured: a geometry-optimized Rb2CuAuF6 structure at the GGA-PBE level of DFT.

a b c (Å): 6.213 6.213 6.213
angles (deg): 120.46 120.46 89.20
Fractional coordinates of all 10 atoms:
1 Rb 0.250 0.750 0.500
2 Rb 0.750 0.250 0.500
3 Cu 0.000 0.000 0.000
4 Au 0.500 0.500 0.000
5 F 0.218 0.218 0.436
6 F 0.218 0.782 0.000
7 F 0.266 0.266 0.000
8 F 0.734 0.734 0.000
9 F 0.782 0.218 0.000
10 F 0.782 0.782 0.564

Summary:
The uncorrected formation energy is -1891 meV/atom. For the volume, the calculation gives 168 Å³/f.u.

[3]
Computed, not measured: a geometry-optimized RbCuAu2F8 structure at the GGA-PBE level of DFT.

a b c (Å): 7.967 7.967 7.967
angles (deg): 40.04 40.04 40.04
Fractional coordinates of all 12 atoms:
1 Rb 0.000 0.000 0.000
2 Cu 0.500 0.500 0.500
3 Au 0.211 0.211 0.211
4 Au 0.789 0.789 0.789
5 F 0.212 0.717 0.717
6 F 0.283 0.283 0.788
7 F 0.283 0.788 0.283
8 F 0.302 0.302 0.302
9 F 0.698 0.698 0.698
10 F 0.717 0.212 0.717
11 F 0.717 0.717 0.212
12 F 0.788 0.283 0.283

Summary:
The uncorrected formation energy is -1204 meV/atom. For the volume, the calculation gives 189 Å³/f.u.

[4]
Computed, not measured: a geometry-optimized CuAuS2F structure at the GGA-PBE level of DFT.

a b c (Å): 4.688 4.688 5.075
angles (deg): 90.00 90.00 90.00
Fractional coordinates of all 5 atoms:
1 Cu 0.000 0.000 0.000
2 Au 0.000 0.000 0.500
3 S 0.000 0.500 0.500
4 S 0.500 0.000 0.500
5 F 0.500 0.500 0.000

Summary:
The uncorrected formation energy is 672 meV/atom. For the volume, the calculation gives 112 Å³/f.u.

[5]
Computed, not measured: a geometry-optimized Cu2SiAuF structure at the GGA-PBE level of DFT.

a b c (Å): 4.121 4.121 4.331
angles (deg): 90.00 90.00 90.00
Fractional coordinates of all 5 atoms:
1 Cu 0.000 0.500 0.000
2 Cu 0.500 0.000 0.000
3 Si 0.000 0.000 0.500
4 Au 0.500 0.500 0.500
5 F 0.000 0.000 0.000

Summary:
The uncorrected formation energy is 134 meV/atom. For the volume, the calculation gives 74 Å³/f.u.

[6]
Computed, not measured: a geometry-optimized Sr2CuAuF structure at the GGA-PBE level of DFT.

a b c (Å): 5.932 5.932 4.659
angles (deg): 90.00 90.00 90.00
Fractional coordinates of all 5 atoms:
1 Sr 0.000 0.500 0.000
2 Sr 0.500 0.000 0.000
3 Cu 0.000 0.000 0.500
4 Au 0.500 0.500 0.000
5 F 0.500 0.500 0.500

Summary:
The uncorrected formation energy is -364 meV/atom. For the volume, the calculation gives 164 Å³/f.u.

[7]
Computed, not measured: a geometry-optimized YCu2AuF structure at the GGA-PBE level of DFT.

a b c (Å): 4.806 4.806 4.448
angles (deg): 90.00 90.00 90.00
Fractional coordinates of all 5 atoms:
1 Y 0.000 0.000 0.000
2 Cu 0.000 0.500 0.500
3 Cu 0.500 0.000 0.500
4 Au 0.500 0.500 0.500
5 F 0.500 0.500 0.000

Summary:
The uncorrected formation energy is -55 meV/atom. For the volume, the calculation gives 103 Å³/f.u.

[8]
Computed, not measured: a geometry-optimized ZnCuAuF6 structure at the GGA-PBE level of DFT.

a b c (Å): 5.344 5.344 9.789
angles (deg): 90.00 90.00 120.00
Fractional coordinates of all 18 atoms:
1 Zn 0.333 0.667 0.250
2 Zn 0.667 0.333 0.750
3 Cu 0.333 0.667 0.750
4 Cu 0.667 0.333 0.250
5 Au 0.000 0.000 0.000
6 Au 0.000 0.000 0.500
7 F 0.007 0.358 0.639
8 F 0.007 0.649 0.861
9 F 0.351 0.358 0.861
10 F 0.351 0.993 0.639
11 F 0.358 0.007 0.139
12 F 0.358 0.351 0.361
13 F 0.642 0.649 0.639
14 F 0.642 0.993 0.861
15 F 0.649 0.007 0.361
16 F 0.649 0.642 0.139
17 F 0.993 0.351 0.139
18 F 0.993 0.642 0.361

Summary:
The uncorrected formation energy is -1497 meV/atom. For the volume, the calculation gives 121 Å³/f.u.

[9]
Computed, not measured: a geometry-optimized FeCuAu structure at the GGA-PBE level of DFT.

a b c (Å): 5.810 5.810 5.810
angles (deg): 90.00 90.00 90.00
Fractional coordinates of all 12 atoms:
1 Fe 0.000 0.000 0.000
2 Fe 0.000 0.500 0.500
3 Fe 0.500 0.000 0.500
4 Fe 0.500 0.500 0.000
5 Cu 0.250 0.250 0.750
6 Cu 0.250 0.750 0.250
7 Cu 0.750 0.250 0.250
8 Cu 0.750 0.750 0.750
9 Au 0.000 0.000 0.500
10 Au 0.000 0.500 0.000
11 Au 0.500 0.000 0.000
12 Au 0.500 0.500 0.500

Summary:
For the volume, the calculation gives 49 Å³/f.u. The polymorph energy (0 for the lowest one) is 0.324 eV/atom. The energy of formation from the pure elements is 0.44 eV per atom.

[10]
Computed, not measured: a geometry-optimized FeCu2Au structure at the GGA-PBE level of DFT.

a b c (Å): 2.740 2.740 25.632
angles (deg): 90.00 90.00 120.00
Fractional coordinates of all 12 atoms:
1 Fe 0.000 0.000 0.000
2 Fe 0.333 0.667 0.667
3 Fe 0.667 0.333 0.333
4 Cu 0.000 0.000 0.489
5 Cu 0.000 0.000 0.745
6 Cu 0.333 0.667 0.155
7 Cu 0.333 0.667 0.412
8 Cu 0.667 0.333 0.079
9 Cu 0.667 0.333 0.822
10 Au 0.000 0.000 0.244
11 Au 0.333 0.667 0.911
12 Au 0.667 0.333 0.577

Summary:
For the volume, the calculation gives 56 Å³/f.u. The energy of formation from the pure elements is 0.19 eV per atom.

[11]
Computed, not measured: a geometry-optimized FeCuAu structure at the GGA-PBE level of DFT.

a b c (Å): 2.765 2.765 19.685
angles (deg): 90.00 90.00 120.00
Fractional coordinates of all 9 atoms:
1 Fe 0.000 0.000 0.000
2 Fe 0.333 0.667 0.667
3 Fe 0.667 0.333 0.333
4 Cu 0.000 0.000 0.435
5 Cu 0.333 0.667 0.102
6 Cu 0.667 0.333 0.768
7 Au 0.000 0.000 0.218
8 Au 0.333 0.667 0.884
9 Au 0.667 0.333 0.551

Summary:
For the volume, the calculation gives 43 Å³/f.u. The polymorph energy (0 for the lowest one) is 0.092 eV/atom. The energy of formation from the pure elements is 0.21 eV per atom.

[12]
Computed, not measured: a geometry-optimized FeCu4Au5 structure at the GGA-PBE level of DFT.

a b c (Å): 2.974 2.974 17.110
angles (deg): 90.00 90.00 90.00
Fractional coordinates of all 10 atoms:
1 Fe 0.000 0.000 0.000
2 Cu 0.000 0.000 0.202
3 Cu 0.000 0.000 0.401
4 Cu 0.000 0.000 0.599
5 Cu 0.000 0.000 0.798
6 Au 0.500 0.500 0.102
7 Au 0.500 0.500 0.302
8 Au 0.500 0.500 0.500
9 Au 0.500 0.500 0.698
10 Au 0.500 0.500 0.898

Summary:
For the volume, the calculation gives 151 Å³/f.u. The energy of formation from the pure elements is 0.00 eV per atom.